# BeNi3H (SCAN, PBEsol geometry)
# Calculated total energy: -11.44 eV per atom
data_BeNi3H
_chemical_formula_sum 'Be1 Ni3 H1'
_cell_length_a 3.4583
_cell_length_b 3.4583
_cell_length_c 3.4583
_cell_angle_alpha 90.00
_cell_angle_beta 90.00
_cell_angle_gamma 90.00
_symmetry_space_group_name_H-M 'P m -3 m'
_symmetry_Int_Tables_number 221
_symmetry_space_group_name_Hall '-P 4 2 3'
loop_
_atom_site_label
_atom_site_type_symbol
_atom_site_fract_x
_atom_site_fract_y
_atom_site_fract_z
Be1 Be 0.0000 0.0000 0.0000
Ni1 Ni 0.0000 0.5000 0.5000
H1 H 0.5000 0.5000 0.5000

=====

# BeNiH2 (SCAN, PBEsol geometry)
# Calculated total energy: -6.85 eV per atom
data_BeNiH2
_chemical_formula_sum 'Be4 Ni4 H8'
_cell_length_a 3.6151
_cell_length_b 3.6151
_cell_length_c 7.6200
_cell_angle_alpha 90.00
_cell_angle_beta 90.00
_cell_angle_gamma 90.00
_symmetry_space_group_name_H-M 'I -4 2 d'
_symmetry_Int_Tables_number 122
_symmetry_space_group_name_Hall 'I -4 2bw'
loop_
_atom_site_label
_atom_site_type_symbol
_atom_site_fract_x
_atom_site_fract_y
_atom_site_fract_z
Be1 Be 0.0000 0.0000 0.0000
Ni1 Ni 0.0000 0.0000 0.5000
H1 H 0.2395 0.2500 0.1250

=====

# BeH2O2 (SCAN, PBEsol geometry)
# Calculated total energy: -6.58 eV per atom
data_BeH2O2
_chemical_formula_sum 'Be4 H8 O8'
_cell_length_a 4.7515
_cell_length_b 4.7515
_cell_length_c 5.7280
_cell_angle_alpha 90.00
_cell_angle_beta 90.00
_cell_angle_gamma 90.00
_symmetry_space_group_name_H-M 'P 41 21 2'
_symmetry_Int_Tables_number 92
_symmetry_space_group_name_Hall 'P 4abw 2nw'
loop_
_atom_site_label
_atom_site_type_symbol
_atom_site_fract_x
_atom_site_fract_y
_atom_site_fract_z
Be1 Be 0.1695 0.1695 0.0000
H1 H 0.0660 0.7450 0.9254
O1 O 0.1707 0.7752 0.4867

=====

# BeH8SO8 (SCAN, PBEsol geometry)
# Calculated total energy: -6.50 eV per atom
data_BeH8SO8
_chemical_formula_sum 'Be4 H32 S4 O32'
_cell_length_a 7.9118
_cell_length_b 7.9118
_cell_length_c 10.8661
_cell_angle_alpha 90.00
_cell_angle_beta 90.00
_cell_angle_gamma 90.00
_symmetry_space_group_name_H-M 'I -4 c 2'
_symmetry_Int_Tables_number 120
_symmetry_space_group_name_Hall 'I -4 -2c'
loop_
_atom_site_label
_atom_site_type_symbol
_atom_site_fract_x
_atom_site_fract_y
_atom_site_fract_z
Be1 Be 0.0000 0.0000 0.0000
H1 H 0.0382 0.2326 0.1184
H2 H 0.1264 0.2198 0.3852
S1 S 0.0000 0.5000 0.2500
O1 O 0.0865 0.3711 0.6729
O2 O 0.1048 0.1392 0.0774

=====

# BeH8SeO8 (SCAN, PBEsol geometry)
# Calculated total energy: -6.88 eV per atom
data_BeH8SeO8
_chemical_formula_sum 'Be8 H64 Se8 O64'
_cell_length_a 11.9732
_cell_length_b 11.3210
_cell_length_c 10.7534
_cell_angle_alpha 90.00
_cell_angle_beta 90.00
_cell_angle_gamma 90.00
_symmetry_space_group_name_H-M 'C m c e'
_symmetry_Int_Tables_number 64
_symmetry_space_group_name_Hall '-C 2ac 2'
loop_
_atom_site_label
_atom_site_type_symbol
_atom_site_fract_x
_atom_site_fract_y
_atom_site_fract_z
Be1 Be 0.0000 0.2488 0.2325
H1 H 0.0688 0.0686 0.1580
H2 H 0.0686 0.1330 0.5764
H3 H 0.1416 0.1532 0.8346
H4 H 0.1448 0.2051 0.3685
Se1 Se 0.2492 0.0000 0.0000
O1 O 0.0000 0.1150 0.1817
O2 O 0.0000 0.1464 0.6297
O3 O 0.1166 0.2344 0.8074
O4 O 0.1694 0.0179 0.8742
O5 O 0.1717 0.1198 0.4846

=====

# Be4Si2H2O9 (SCAN, PBEsol geometry)
# Calculated total energy: -8.61 eV per atom
data_Be4Si2H2O9
_chemical_formula_sum 'Be16 Si8 H8 O36'
_cell_length_a 8.7089
_cell_length_b 15.1855
_cell_length_c 4.5715
_cell_angle_alpha 90.00
_cell_angle_beta 90.00
_cell_angle_gamma 90.00
_symmetry_space_group_name_H-M 'C m c 21'
_symmetry_Int_Tables_number 36
_symmetry_space_group_name_Hall 'C 2c -2'
loop_
_atom_site_label
_atom_site_type_symbol
_atom_site_fract_x
_atom_site_fract_y
_atom_site_fract_z
Be1 Be 0.1711 0.0539 0.0000
Be2 Be 0.1728 0.2790 0.5062
Si1 Si 0.1750 0.3865 0.0042
H1 H 0.0000 0.1374 0.2104
H2 H 0.0000 0.1966 0.7245
O1 O 0.0000 0.0931 0.0534
O2 O 0.0000 0.2410 0.5672
O3 O 0.0000 0.4180 0.0682
O4 O 0.2053 0.2902 0.1563
O5 O 0.2060 0.0425 0.6502
O6 O 0.2083 0.3758 0.6538

=====

# SrBeH4O4 (SCAN, PBEsol geometry)
# Calculated total energy: -8.46 eV per atom
data_SrBeH4O4
_chemical_formula_sum 'Sr16 Be16 H64 O64'
_cell_length_a 9.3955
_cell_length_b 9.3955
_cell_length_c 16.9286
_cell_angle_alpha 90.00
_cell_angle_beta 90.00
_cell_angle_gamma 90.00
_symmetry_space_group_name_H-M 'I 41/a c d'
_symmetry_Int_Tables_number 142
loop_
_symmetry_equiv_pos_as_xyz
'x,y,z'
'-x,-y,-z'
'-y+1/4,x+3/4,z+1/4'
'y+1/4,-x+3/4,-z+1/4'
'-x+1/2,-y,z+1/2'
'x+1/2,y,-z+1/2'
'y+1/4,-x+1/4,z+3/4'
'-y+1/4,x+1/4,-z+3/4'
'x,-y,-z+1/2'
'-x,y,z+1/2'
'-y+1/4,-x+1/4,-z+1/4'
'y+1/4,x+1/4,z+1/4'
'-x+1/2,y,-z'
'x+1/2,-y,z'
'y+1/4,x+3/4,-z+3/4'
'-y+1/4,-x+3/4,z+3/4'
'x+1/2,y+1/2,z+1/2'
'-x+1/2,-y+1/2,-z+1/2'
'-y+3/4,x+1/4,z+3/4'
'y+3/4,-x+1/4,-z+3/4'
'-x,-y+1/2,z'
'x,y+1/2,-z'
'y+3/4,-x+3/4,z+1/4'
'-y+3/4,x+3/4,-z+1/4'
'x+1/2,-y+1/2,-z'
'-x+1/2,y+1/2,z'
'-y+3/4,-x+3/4,-z+3/4'
'y+3/4,x+3/4,z+3/4'
'-x,y+1/2,-z+1/2'
'x,-y+1/2,z+1/2'
'y+3/4,x+1/4,-z+1/4'
'-y+3/4,-x+1/4,z+1/4'
loop_
_atom_site_label
_atom_site_type_symbol
_atom_site_fract_x
_atom_site_fract_y
_atom_site_fract_z
Sr1 Sr 0.0000 0.2500 0.1250
Sr2 Sr 0.0000 0.2500 0.3750
Be1 Be 0.0377 0.0000 0.2500
H1 H 0.0959 0.0261 0.9803
H2 H 0.1659 0.0144 0.8179
O1 O 0.0644 0.0033 0.8289
O2 O 0.1041 0.1188 0.0060

=====

# BeHOs3 (SCAN, PBEsol geometry)
# Calculated total energy: -42.88 eV per atom
data_BeHOs3
_chemical_formula_sum 'Be1 H1 Os3'
_cell_length_a 4.0288
_cell_length_b 4.0288
_cell_length_c 4.0288
_cell_angle_alpha 90.00
_cell_angle_beta 90.00
_cell_angle_gamma 90.00
_symmetry_space_group_name_H-M 'P m -3 m'
_symmetry_Int_Tables_number 221
_symmetry_space_group_name_Hall '-P 4 2 3'
loop_
_atom_site_label
_atom_site_type_symbol
_atom_site_fract_x
_atom_site_fract_y
_atom_site_fract_z
Be1 Be 0.0000 0.0000 0.0000
H1 H 0.5000 0.5000 0.5000
Os1 Os 0.0000 0.0000 0.5000